Entry 1:
20
Lattice="5.305 -4.873 0.000 5.305 4.873 0.000 -2.768 0.000 5.303" Properties=species:S:1:pos:R:3 comment="SrBeGe2O6 PBE relaxed" vol_a3_per_cell=274 mass_density_g_cm3=4.09 space_group="No. 15" total_energy_ev_per_cell=-132.19 pbc="T T T"
Sr 3.230 3.471 3.977
Sr 4.613 -3.471 1.326
Be 4.613 2.945 1.326
Be 3.230 -2.945 3.977
Ge 0.771 0.787 4.576
Ge 2.155 -0.787 1.924
Ge 5.688 0.787 3.379
Ge 7.072 -0.787 0.727
O -0.777 0.906 3.743
O 1.558 2.179 5.238
O 0.607 -0.906 1.092
O 1.906 0.490 3.166
O 4.902 2.179 2.717
O 3.290 -0.490 0.514
O 4.553 0.490 4.789
O 2.941 -2.179 2.586
O 5.937 -0.490 2.137
O 7.236 0.906 4.212
O 6.285 -2.179 0.065
O 8.620 -0.906 1.560

=====

Entry 2:
11
Lattice="2.652 1.531 5.170 -2.652 1.531 5.170 0.000 -3.062 5.170" Properties=species:S:1:pos:R:3 comment="Sr2Be2GeO6 PBE relaxed" vol_a3_per_cell=126 mass_density_g_cm3=4.77 space_group="No. 166" total_energy_ev_per_cell=-72.22 pbc="T T T"
Sr 0.000 0.000 3.416
Sr 0.000 0.000 12.096
Be 0.000 0.000 6.355
Be 0.000 0.000 9.156
Ge 0.000 0.000 0.000
O 0.000 -1.540 6.353
O -1.334 0.770 6.353
O -1.334 -0.770 9.158
O 1.334 0.770 6.353
O 1.334 -0.770 9.158
O 0.000 1.540 9.158

=====

Entry 3:
12
Lattice="5.627 0.000 0.000 -2.813 4.873 0.000 0.000 0.000 6.625" Properties=species:S:1:pos:R:3 comment="Sr3Be2GeO6 PBE relaxed" vol_a3_per_cell=182 mass_density_g_cm3=4.11 space_group="No. 164" total_energy_ev_per_cell=-73.96 pbc="T T T"
Sr 0.000 0.000 0.000
Sr 0.000 3.249 4.486
Sr 2.813 1.624 2.139
Be 0.000 3.249 1.665
Be 2.813 1.624 4.959
Ge 0.000 0.000 3.312
O 0.000 1.722 1.809
O -1.322 4.012 1.809
O 1.492 0.861 4.816
O 1.322 4.012 1.809
O 4.135 0.861 4.816
O 2.813 3.150 4.816

=====

Entry 4:
20
Lattice="4.908 2.833 2.391 -4.908 2.833 2.391 0.000 -5.667 2.391" Properties=species:S:1:pos:R:3 comment="TbBe4Ge3O12 PBE relaxed" vol_a3_per_cell=199 mass_density_g_cm3=5.04 space_group="No. 155" total_energy_ev_per_cell=-135.96 pbc="T T T"
Tb 0.000 0.000 0.000
Be -2.131 -3.691 3.586
Be 0.000 0.000 3.586
Be -2.131 3.691 3.586
Be 4.262 0.000 3.586
Ge -2.748 -0.907 2.391
Ge 2.159 -1.927 2.391
Ge 0.589 2.833 2.391
O -3.005 -2.430 3.445
O -4.000 0.000 3.586
O -0.602 -3.817 3.727
O -1.556 0.000 3.586
O -3.005 2.430 3.727
O 2.000 -3.464 3.586
O 0.778 -1.348 3.586
O -0.602 3.817 3.445
O 0.778 1.348 3.586
O 3.607 -1.387 3.445
O 2.000 3.464 3.586
O 3.607 1.387 3.727

=====

Entry 5:
5
Lattice="4.008 0.000 0.000 0.000 4.008 0.000 0.000 0.000 4.298" Properties=species:S:1:pos:R:3 comment="BeTc2GeO PBE relaxed" vol_a3_per_cell=69 mass_density_g_cm3=7.06 space_group="No. 123" total_energy_ev_per_cell=-32.07 pbc="T T T"
Be 0.000 0.000 0.000
Tc 0.000 2.004 2.149
Tc 2.004 0.000 2.149
Ge 2.004 2.004 0.000
O 2.004 2.004 2.149

=====

Entry 6:
5
Lattice="4.979 0.000 0.000 0.000 4.979 0.000 0.000 0.000 3.688" Properties=species:S:1:pos:R:3 comment="BeTcGe2O PBE relaxed" vol_a3_per_cell=91 mass_density_g_cm3=4.87 space_group="No. 123" total_energy_ev_per_cell=-26.84 pbc="T T T"
Be 0.000 0.000 0.000
Tc 2.489 2.489 1.844
Ge 0.000 2.489 1.844
Ge 2.489 0.000 1.844
O 2.489 2.489 0.000

=====

Entry 7:
20
Lattice="4.935 2.849 2.358 -4.935 2.849 2.358 0.000 -5.699 2.358" Properties=species:S:1:pos:R:3 comment="Be4TlGe3O12 PBE relaxed" vol_a3_per_cell=199 mass_density_g_cm3=5.43 space_group="No. 155" total_energy_ev_per_cell=-125.82 pbc="T T T"
Be 0.000 0.000 0.000
Be -2.156 -1.964 2.358
Be -0.622 2.849 2.358
Be 2.779 -0.886 2.358
Tl 0.000 0.000 3.538
Ge -4.342 0.000 3.538
Ge 2.171 -3.761 3.538
Ge 2.171 3.761 3.538
O -2.933 -0.620 2.358
O -4.156 1.499 2.358
O -0.615 -1.891 2.244
O 0.779 -4.349 2.358
O -1.330 1.479 2.244
O 2.003 -2.230 2.358
O -1.330 -1.479 4.832
O 1.946 0.413 2.244
O 0.930 2.849 2.358
O -0.615 1.891 4.832
O 3.377 2.849 2.358
O 1.946 -0.413 4.832

=====

Entry 8:
16
Lattice="0.000 5.767 10.333 2.352 0.000 10.333 2.352 5.767 0.000" Properties=species:S:1:pos:R:3 comment="BeTl2GeO4 PBE relaxed" vol_a3_per_cell=280 mass_density_g_cm3=6.57 space_group="No. 70" total_energy_ev_per_cell=-88.67 pbc="T T T"
Be 0.588 1.442 2.583
Be 4.116 10.092 18.083
Tl 1.764 4.325 4.129
Tl 2.940 7.209 9.295
Tl 1.764 4.325 11.371
Tl 2.940 7.209 16.537
Ge 1.764 4.325 7.750
Ge 2.940 7.209 12.916
O 3.009 3.393 8.622
O 3.009 5.257 6.878
O 4.185 6.277 12.044
O 4.185 8.141 13.789
O 0.519 3.393 6.878
O 0.519 5.257 8.622
O 1.695 6.277 13.789
O 1.695 8.141 12.044

=====

Entry 9:
20
Lattice="4.975 -4.233 0.000 4.975 4.233 0.000 -3.029 0.000 5.199" Properties=species:S:1:pos:R:3 comment="TmBe2GeO6 PBE relaxed" vol_a3_per_cell=219 mass_density_g_cm3=5.39 space_group="No. 15" total_energy_ev_per_cell=-138.07 pbc="T T T"
Tm 2.703 2.559 3.900
Tm 4.217 -2.559 1.300
Be 0.558 0.478 4.425
Be 2.072 -0.478 1.825
Be 4.848 0.478 3.374
Be 6.363 -0.478 0.774
Ge 4.217 2.738 1.300
Ge 2.703 -2.738 3.900
O -0.822 0.522 3.537
O 0.946 1.909 5.005
O 0.693 -0.522 0.937
O 1.799 0.579 3.091
O 4.459 1.909 2.794
O 3.313 -0.579 0.492
O 3.607 0.579 4.708
O 2.461 -1.909 2.405
O 5.122 -0.579 2.108
O 6.227 0.522 4.263
O 5.974 -1.909 0.195
O 7.742 -0.522 1.663

=====

Entry 10:
24
Lattice="7.461 0.000 0.000 0.000 7.461 0.000 0.000 0.000 4.855" Properties=species:S:1:pos:R:3 comment="Yb2Be2GeO7 PBE relaxed" vol_a3_per_cell=270 mass_density_g_cm3=6.74 space_group="No. 113" total_energy_ev_per_cell=-159.95 pbc="T T T"
Yb 1.186 2.545 0.020
Yb 2.545 6.276 4.835
Yb 4.916 1.186 4.835
Yb 6.276 4.916 0.020
Be 1.016 4.747 2.683
Be 2.714 1.016 2.172
Be 4.747 6.445 2.172
Be 6.445 2.714 2.683
Ge 0.000 0.000 2.427
Ge 3.731 3.731 2.427
O 0.000 3.731 3.322
O 0.610 6.178 3.467
O 1.055 4.786 1.081
O 1.284 0.610 1.388
O 2.447 4.341 3.467
O 2.675 1.055 3.774
O 3.120 2.447 1.388
O 3.731 0.000 1.533
O 4.341 5.014 1.388
O 4.786 6.406 3.774
O 5.014 3.120 3.467
O 6.178 6.851 1.388
O 6.406 2.675 1.081
O 6.851 1.284 3.467